# 1
PrZnNO: relaxed, GGA-PBE.

Cell: 5.802 7.735 5.743 Å, 90.00 90.00 90.00°
Positions (direct):
Pr1 0.031 0.150 0.000
Pr2 0.469 0.150 0.500
Pr3 0.531 0.850 0.000
Pr4 0.969 0.850 0.500
Zn1 0.107 0.464 0.607
Zn2 0.393 0.464 0.107
Zn3 0.607 0.536 0.607
Zn4 0.893 0.536 0.107
N1 0.114 0.386 0.281
N2 0.386 0.386 0.781
N3 0.614 0.614 0.281
N4 0.886 0.614 0.781
O1 0.247 0.975 0.239
O2 0.253 0.975 0.739
O3 0.747 0.025 0.239
O4 0.753 0.025 0.739

Values from the calculation:
Theoretical density (g cm⁻³): 6.09
M_tot (μB/f.u.): 0.0
E_tot (eV per atom): -6.339

---

# 2
PrZnNO: relaxed, GGA-PBE.

Cell: 5.677 7.952 5.303 Å, 90.00 90.00 90.00°
Positions (direct):
Pr1 0.026 0.157 0.000
Pr2 0.474 0.157 0.500
Pr3 0.526 0.843 0.000
Pr4 0.974 0.843 0.500
Zn1 0.047 0.615 0.995
Zn2 0.453 0.615 0.495
Zn3 0.547 0.385 0.995
Zn4 0.953 0.385 0.495
N1 0.048 0.142 0.524
N2 0.452 0.142 0.024
N3 0.548 0.858 0.524
N4 0.952 0.858 0.024
O1 0.123 0.579 0.627
O2 0.377 0.579 0.127
O3 0.623 0.421 0.627
O4 0.877 0.421 0.127

Values from the calculation:
Theoretical density (g cm⁻³): 6.56
M_tot (μB/f.u.): 0.0
E_tot (eV per atom): -6.240

---

# 3
PrZrNO: relaxed, GGA-PBE.

Cell: 4.136 6.262 5.350 Å, 90.00 90.00 90.00°
Positions (direct):
Pr1 0.000 0.180 0.000
Pr2 0.000 0.820 0.500
Zr1 0.500 0.288 0.520
Zr2 0.500 0.712 0.020
N1 0.000 0.210 0.508
N2 0.000 0.790 0.008
O1 0.500 0.392 0.902
O2 0.500 0.608 0.402

Values from the calculation:
Theoretical density (g cm⁻³): 6.28
M_tot (μB/f.u.): 0.0
E_tot (eV per atom): -8.540

---

# 4
PrZrNO: relaxed, GGA-PBE.

Cell: 6.703 7.830 5.348 Å, 90.00 90.00 90.00°
Positions (direct):
Pr1 0.065 0.131 0.000
Pr2 0.435 0.131 0.500
Pr3 0.565 0.869 0.000
Pr4 0.935 0.869 0.500
Zr1 0.105 0.645 0.991
Zr2 0.395 0.645 0.491
Zr3 0.605 0.355 0.991
Zr4 0.895 0.355 0.491
N1 0.078 0.154 0.485
N2 0.422 0.154 0.985
N3 0.578 0.846 0.485
N4 0.922 0.846 0.985
O1 0.084 0.566 0.594
O2 0.416 0.566 0.094
O3 0.584 0.434 0.594
O4 0.916 0.434 0.094

Values from the calculation:
Theoretical density (g cm⁻³): 6.20
M_tot (μB/f.u.): 0.0
E_tot (eV per atom): -8.445

---

# 5
PrZrNO: relaxed, GGA-PBE.

Cell: 4.616 4.616 6.085 Å, 90.00 90.00 90.00°
Positions (direct):
Pr1 0.250 0.750 0.000
Pr2 0.750 0.250 0.000
Zr1 0.250 0.250 0.465
Zr2 0.750 0.750 0.535
N1 0.250 0.250 0.140
N2 0.750 0.750 0.860
O1 0.250 0.750 0.500
O2 0.750 0.250 0.500

Values from the calculation:
Theoretical density (g cm⁻³): 6.72
M_tot (μB/f.u.): 0.0
E_tot (eV per atom): -8.372

---

# 6
PrZrNO: relaxed, GGA-PBE.

Cell: 4.269 4.269 8.616 Å, 90.00 90.00 90.00°
Positions (direct):
Pr1 0.250 0.250 0.124
Pr2 0.750 0.750 0.876
Zr1 0.250 0.750 0.500
Zr2 0.750 0.250 0.500
N1 0.250 0.250 0.547
N2 0.750 0.750 0.453
O1 0.250 0.750 0.000
O2 0.750 0.250 0.000

Values from the calculation:
Theoretical density (g cm⁻³): 5.54
M_tot (μB/f.u.): 0.0
E_tot (eV per atom): -8.535

---

Look up the E_tot of the fourth one.
-8.445 eV per atom

---

What is the E_tot in the third record?
-8.540 eV per atom

---

What is the formula in the first record?
PrZnNO